DFT (PBE-GGA) results for a relaxed structure of LaMnSn2.

Properties
Volume   102.5 Å³/cell
Crystal system   trigonal
Calculated formation energy   -0.364 eV/atom
Raw total energy   -5.89 eV per atom

```
LaMnSn2
1.0
4.558 0.000 0.000
2.279 3.947 0.000
2.279 1.316 5.700
Sn La Mn
2 1 1
direct
0.278 0.278 0.165
0.722 0.722 0.835
0.500 0.500 0.500
0.000 0.000 0.000
```

***

DFT (PBE-GGA) results for a relaxed structure of CoOs2I.

Properties
Formation energy without anion corrections   127 kJ/mol of atoms
Volume   61.6 Å³/cell
Crystal system   cubic
Raw total energy   -6.46 eV per atom

```
CoOs2I
1.0
0.000 3.135 3.135
3.135 0.000 3.135
3.135 3.135 0.000
Os I Co
2 1 1
direct
0.750 0.750 0.750
0.250 0.250 0.250
0.500 0.500 0.500
0.000 0.000 0.000
```

***

DFT (PBE-GGA) results for a relaxed structure of TbPd8Au5.

Properties
Volume   253.7 Å³/cell
Crystal system   tetragonal
Calculated formation energy   -0.155 eV/atom
Raw total energy   -4.62 eV per atom

```
TbPd8Au5
1.0
6.922 -0.190 0.326
-2.521 6.449 -0.326
-1.880 -3.355 5.768
Pd Au Tb
8 5 1
direct
0.331 0.252 0.398
0.146 0.748 0.079
0.548 0.592 0.285
0.044 0.737 0.452
0.921 0.067 0.669
0.602 0.933 0.854
0.693 0.408 0.956
0.715 0.263 0.307
0.287 0.075 0.927
0.073 0.359 0.148
0.500 0.000 0.500
0.788 0.641 0.713
0.852 0.925 0.212
0.250 0.500 0.750
```